VASP calculation (GGA-PBE) on an optimized crystal structure of SrLi3Ga3.

Structure (POSCAR):
```
SrLi3Ga3
1.0
6.9413 0.0000 0.0000
0.0000 6.9413 0.0000
0.0000 0.0000 6.9413
Sr Ga Li
2 6 6
direct
0.5000 0.5000 0.5000
0.0000 0.0000 0.0000
0.2500 0.0000 0.5000
0.0000 0.5000 0.2500
0.5000 0.7500 0.0000
0.7500 0.0000 0.5000
0.0000 0.5000 0.7500
0.5000 0.2500 0.0000
0.0000 0.2500 0.5000
0.0000 0.7500 0.5000
0.5000 0.0000 0.7500
0.7500 0.5000 0.0000
0.5000 0.0000 0.2500
0.2500 0.5000 0.0000
```

Output
symmetry = Pm-3n, No. 223
DFT formation energy = 55.7 meV/atom

VASP calculation (GGA-PBE) on an optimized crystal structure of HoTmInOs.

Structure (POSCAR):
```
HoTmInOs
1.0
-3.0613 0.9925 -0.9585
-1.2529 -2.9767 0.9191
-1.4161 2.9292 7.5563
Ho Tm In Os
1 1 1 1
direct
0.5000 0.5000 0.7729
0.5000 0.5000 0.3695
0.0000 0.0000 0.0740
0.0000 0.0000 0.5684
```

Output
symmetry = P4mm, No. 99
DFT formation energy = -404.5 meV/atom

VASP calculation (GGA-PBE) on an optimized crystal structure of Tb2PrEr2.

Structure (POSCAR):
```
Tb2PrEr2
1.0
9.3818 0.0000 0.0000
0.0000 9.3818 0.0000
0.0000 0.0000 3.7305
Tb Pr Er
4 2 4
direct
0.1255 0.6255 0.0000
0.6255 0.8745 0.0000
0.8745 0.3745 0.0000
0.3745 0.1255 0.0000
0.0000 0.0000 0.0000
0.5000 0.5000 0.0000
0.3289 0.8289 0.5000
0.8289 0.6711 0.5000
0.6711 0.1711 0.5000
0.1711 0.3289 0.5000
```

Output
symmetry = P4/mbm, No. 127
DFT formation energy = 80.0 meV/atom

VASP calculation (GGA-PBE) on an optimized crystal structure of Zr3Br.

Structure (POSCAR):
```
Zr3Br
1.0
-0.1987 -3.2084 -0.5226
3.0256 -0.3740 1.1456
-3.2216 -1.1264 8.1410
Br Zr
1 3
direct
0.0000 0.0000 0.0000
0.5000 0.5000 0.2550
0.0000 0.0000 0.5000
0.5000 0.5000 0.7450
```

Output
formation energy from raw total energies = -0.131 eV per atom
symmetry = P4/mmm, No. 123

Number 1: polymorph energy (0 for the lowest one) 268 meV per atom, DFT total energy -2.302 eV/atom. Number 2: polymorph energy (0 for the lowest one) 0 meV per atom, DFT total energy -6.159 eV/atom. Number 3: polymorph energy (0 for the lowest one) 0 meV per atom, DFT total energy -4.553 eV/atom. Number 4: polymorph energy (0 for the lowest one) 121 meV per atom, DFT total energy -6.960 eV/atom.